(1)
The following is a GGA-PBE calculation of a relaxed structure of RbFe2CoPd, from Alexandria. Values from VASP.

The value obtained for the total magnetization is 1.310 μB/atom. The crystal system is tetragonal. As for the formation energy from the elements: 2500 meV/atom.

```
&SYSTEM
  ibrav = 0, nat = 5, ntyp = 4
/
ATOMIC_SPECIES
Rb 85.47 Rb.upf
Fe 55.84 Fe.upf
Co 58.93 Co.upf
Pd 106.42 Pd.upf
CELL_PARAMETERS angstrom
4.616 0.000 0.000
0.000 4.616 0.000
0.000 0.000 4.436
ATOMIC_POSITIONS angstrom
Rb 0.000 0.000 0.000
Fe 0.000 2.308 0.000
Fe 2.308 0.000 0.000
Co 0.000 0.000 2.218
Pd 2.308 2.308 2.218
```

(2)
The following is a GGA-PBE calculation of a relaxed structure of KCu2RuBr8, from Alexandria. Values from VASP.

The value obtained for the total magnetization is 0.254 μB/atom. As for the formation energy (no corrections): -0.5101 eV/atom. The crystal system is triclinic.

```
&SYSTEM
  ibrav = 0, nat = 12, ntyp = 4
/
ATOMIC_SPECIES
K 39.10 K.upf
Cu 63.55 Cu.upf
Ru 101.07 Ru.upf
Br 79.90 Br.upf
CELL_PARAMETERS angstrom
6.476 0.000 0.000
0.445 7.179 0.000
1.122 2.705 8.176
ATOMIC_POSITIONS angstrom
K 0.000 0.000 0.000
Cu 4.170 5.983 6.656
Cu 3.874 3.901 1.520
Ru 0.784 4.942 4.088
Br 1.722 5.628 6.346
Br 1.827 6.934 3.064
Br 2.846 3.555 3.653
Br 4.544 8.108 7.852
Br 3.500 1.776 0.324
Br 5.199 6.329 4.523
Br 6.217 2.949 5.112
Br 6.323 4.255 1.830
```

(3)
The following is a GGA-PBE calculation of a relaxed structure of Hg2PtAu8, from Alexandria. Values from VASP.

The value obtained for the total magnetization is 0.000 μB/atom. The crystal system is monoclinic. As for the formation energy from the elements: 107 meV/atom.

```
&SYSTEM
  ibrav = 0, nat = 11, ntyp = 3
/
ATOMIC_SPECIES
Hg 200.59 Hg.upf
Pt 195.08 Pt.upf
Au 196.97 Au.upf
CELL_PARAMETERS angstrom
3.883 -6.554 0.000
3.883 6.554 0.000
-3.822 0.000 4.281
ATOMIC_POSITIONS angstrom
Hg 3.883 3.971 0.000
Hg 3.883 -3.971 0.000
Pt -1.911 0.000 2.140
Au 1.972 3.698 2.140
Au 1.304 0.000 0.522
Au 0.397 1.428 2.870
Au 0.397 -1.428 2.870
Au 3.548 1.428 1.411
Au 3.548 -1.428 1.411
Au 2.640 0.000 3.758
Au 1.972 -3.698 2.140
```

(4)
The following is a GGA-PBE calculation of a relaxed structure of In2IrPb, from Alexandria. Values from VASP.

The value obtained for the total magnetization is 0.000 μB/atom. The crystal system is orthorhombic. As for the formation energy from the elements: 402 meV/atom.

```
&SYSTEM
  ibrav = 0, nat = 4, ntyp = 3
/
ATOMIC_SPECIES
In 114.82 In.upf
Ir 192.22 Ir.upf
Pb 207.20 Pb.upf
CELL_PARAMETERS angstrom
3.485 0.000 0.000
0.000 4.860 0.000
0.000 0.000 5.339
ATOMIC_POSITIONS angstrom
In 0.000 0.000 0.000
In 1.743 0.000 2.670
Ir 0.000 2.430 2.670
Pb 1.743 2.430 0.000
```

(5)
The following is a GGA-PBE calculation of a relaxed structure of Mn2HgCl, from Alexandria. Values from VASP.

As for the energy relative to the lowest polymorph listed for this composition: 2.347 kcal/mol of atoms. The value obtained for the total magnetization is 2.002 μB/atom. As for the formation energy (no corrections): 0.1670 eV/atom. The crystal system is tetragonal.

```
&SYSTEM
  ibrav = 0, nat = 4, ntyp = 3
/
ATOMIC_SPECIES
Mn 54.94 Mn.upf
Hg 200.59 Hg.upf
Cl 35.45 Cl.upf
CELL_PARAMETERS angstrom
4.898 0.000 0.000
0.000 4.898 0.000
0.000 0.000 3.188
ATOMIC_POSITIONS angstrom
Mn 0.000 2.449 0.000
Mn 2.449 0.000 0.000
Hg 0.000 0.000 1.594
Cl 2.449 2.449 0.000
```

(6)
The following is a GGA-PBE calculation of a relaxed structure of P2PdI, from Alexandria. Values from VASP.

As for the energy relative to the lowest polymorph listed for this composition: 0.000 kcal/mol of atoms. The value obtained for the total magnetization is 0.000 μB/atom. As for the formation energy (no corrections): 0.3665 eV/atom. The crystal system is tetragonal.

```
&SYSTEM
  ibrav = 0, nat = 8, ntyp = 3
/
ATOMIC_SPECIES
P 30.97 P.upf
Pd 106.42 Pd.upf
I 126.90 I.upf
CELL_PARAMETERS angstrom
-3.335 3.335 4.247
3.335 -3.335 4.247
3.335 3.335 -4.247
ATOMIC_POSITIONS angstrom
P 5.002 1.182 -1.062
P 1.182 1.667 1.062
P -1.667 2.153 3.186
P 2.153 1.667 5.309
Pd 0.000 0.000 0.000
Pd 0.000 3.335 2.124
I 3.335 0.000 2.124
I 0.000 0.000 4.247
```

(7)
The following is a GGA-PBE calculation of a relaxed structure of TaTiTl2O, from Alexandria. Values from VASP.

As for the energy relative to the lowest polymorph listed for this composition: 28.067 kcal/mol of atoms. The value obtained for the total magnetization is 0.000 μB/atom. As for the formation energy (no corrections): 1.1969 eV/atom. The crystal system is tetragonal.

```
&SYSTEM
  ibrav = 0, nat = 5, ntyp = 4
/
ATOMIC_SPECIES
Ta 180.95 Ta.upf
Ti 47.87 Ti.upf
Tl 204.38 Tl.upf
O 16.00 O.upf
CELL_PARAMETERS angstrom
5.462 0.000 0.000
0.000 5.462 0.000
0.000 0.000 4.754
ATOMIC_POSITIONS angstrom
Ta 0.000 0.000 0.000
Ti 0.000 0.000 2.377
Tl 0.000 2.731 0.000
Tl 2.731 0.000 0.000
O 2.731 2.731 2.377
```

(8)
The following is a GGA-PBE calculation of a relaxed structure of BaCdCu2, from Alexandria. Values from VASP.

The value obtained for the total magnetization is 0.000 μB/atom. The crystal system is cubic. As for the formation energy from the elements: 246 meV/atom.

```
&SYSTEM
  ibrav = 0, nat = 4, ntyp = 3
/
ATOMIC_SPECIES
Ba 137.33 Ba.upf
Cd 112.41 Cd.upf
Cu 63.55 Cu.upf
CELL_PARAMETERS angstrom
0.000 3.689 3.689
3.689 0.000 3.689
3.689 3.689 0.000
ATOMIC_POSITIONS angstrom
Ba 0.000 0.000 0.000
Cd 5.533 5.533 5.533
Cu 1.844 1.844 1.844
Cu 3.689 3.689 3.689
```

(9)
The following is a GGA-PBE calculation of a relaxed structure of CaPmPtO4, from Alexandria. Values from VASP.

The value obtained for the total magnetization is 0.148 μB/atom. As for the formation energy (no corrections): -2.0376 eV/atom. The crystal system is orthorhombic.

```
&SYSTEM
  ibrav = 0, nat = 14, ntyp = 4
/
ATOMIC_SPECIES
Ca 40.08 Ca.upf
Pm 145.00 Pm.upf
Pt 195.08 Pt.upf
O 16.00 O.upf
CELL_PARAMETERS angstrom
-3.291 3.619 4.531
3.291 -3.619 4.531
3.291 3.619 -4.531
ATOMIC_POSITIONS angstrom
Ca 0.000 1.809 1.459
Ca 3.291 1.809 3.073
Pm 3.291 0.000 0.000
Pm 0.000 0.000 4.531
Pt 1.645 1.809 -2.266
Pt 1.645 -1.809 2.266
O 3.291 3.110 -2.354
O 3.291 -0.509 2.354
O 1.874 1.809 0.386
O 4.707 1.809 0.386
O -1.416 1.809 4.145
O 1.416 1.809 4.145
O 0.000 4.127 2.177
O 0.000 0.509 6.886
```

(10)
The following is a GGA-PBE calculation of a relaxed structure of Gd2Sc, from Alexandria. Values from VASP.

As for the energy relative to the lowest polymorph listed for this composition: 0.000 kcal/mol of atoms. The value obtained for the total magnetization is 4.856 μB/atom. The crystal system is tetragonal. As for the formation energy from the elements: 61 meV/atom.

```
&SYSTEM
  ibrav = 0, nat = 3, ntyp = 2
/
ATOMIC_SPECIES
Gd 157.25 Gd.upf
Sc 44.96 Sc.upf
CELL_PARAMETERS angstrom
-1.763 1.763 7.161
1.763 -1.763 7.161
1.763 1.763 -7.161
ATOMIC_POSITIONS angstrom
Gd 0.000 0.000 2.294
Gd 0.000 0.000 12.028
Sc 0.000 0.000 7.161
```

(11)
The following is a GGA-PBE calculation of a relaxed structure of Dy2HoTl2Cd2, from Alexandria. Values from VASP.

The value obtained for the total magnetization is 0.000 μB/atom. The crystal system is trigonal. As for the formation energy from the elements: -116 meV/atom.

```
&SYSTEM
  ibrav = 0, nat = 7, ntyp = 4
/
ATOMIC_SPECIES
Dy 162.50 Dy.upf
Ho 164.93 Ho.upf
Tl 204.38 Tl.upf
Cd 112.41 Cd.upf
CELL_PARAMETERS angstrom
2.504 1.446 8.670
-2.504 1.446 8.670
0.000 -2.891 8.670
ATOMIC_POSITIONS angstrom
Dy 0.000 0.000 3.447
Dy 0.000 0.000 22.564
Ho 0.000 0.000 0.000
Tl 0.000 0.000 7.050
Tl 0.000 0.000 18.960
Cd 0.000 0.000 11.102
Cd 0.000 0.000 14.908
```

(12)
The following is a GGA-PBE calculation of a relaxed structure of Pa3Ni3Pt5, from Alexandria. Values from VASP.

The value obtained for the total magnetization is 0.000 μB/atom. The crystal system is hexagonal. As for the formation energy from the elements: -601 meV/atom.

```
&SYSTEM
  ibrav = 0, nat = 11, ntyp = 3
/
ATOMIC_SPECIES
Pa 231.04 Pa.upf
Ni 58.69 Ni.upf
Pt 195.08 Pt.upf
CELL_PARAMETERS angstrom
8.358 0.000 0.000
-4.179 7.238 0.000
0.000 0.000 3.469
ATOMIC_POSITIONS angstrom
Pa -2.529 4.381 0.000
Pa 1.650 2.857 0.000
Pa 5.058 0.000 0.000
Ni -3.484 6.034 1.735
Ni 0.695 1.204 1.735
Ni 6.968 0.000 1.735
Pt -1.435 2.486 1.735
Pt 0.000 4.825 1.735
Pt 2.870 0.000 1.735
Pt 2.744 4.752 1.735
Pt 4.179 2.413 1.735
```

(13)
The following is a GGA-PBE calculation of a relaxed structure of Ca2ZnNiH, from Alexandria. Values from VASP.

The value obtained for the total magnetization is 0.000 μB/atom. The crystal system is tetragonal. The calculation puts the total energy at -3.111 eV per atom.

```
&SYSTEM
  ibrav = 0, nat = 5, ntyp = 4
/
ATOMIC_SPECIES
Ca 40.08 Ca.upf
Zn 65.41 Zn.upf
Ni 58.69 Ni.upf
H 1.01 H.upf
CELL_PARAMETERS angstrom
5.036 0.000 0.000
0.000 5.036 0.000
0.000 0.000 3.529
ATOMIC_POSITIONS angstrom
Ca 0.000 2.518 0.000
Ca 2.518 0.000 0.000
Zn 0.000 0.000 1.764
Ni 2.518 2.518 1.764
H 2.518 2.518 0.000
```

(14)
The following is a GGA-PBE calculation of a relaxed structure of CaMo3Se, from Alexandria. Values from VASP.

As for the energy relative to the lowest polymorph listed for this composition: 42.260 kcal/mol of atoms. The value obtained for the total magnetization is 0.000 μB/atom. As for the formation energy (no corrections): 2.6968 eV/atom. The crystal system is cubic.

```
&SYSTEM
  ibrav = 0, nat = 5, ntyp = 3
/
ATOMIC_SPECIES
Ca 40.08 Ca.upf
Mo 95.94 Mo.upf
Se 78.96 Se.upf
CELL_PARAMETERS angstrom
4.703 0.000 0.000
0.000 4.703 0.000
0.000 0.000 4.703
ATOMIC_POSITIONS angstrom
Ca 0.000 0.000 0.000
Mo 0.000 0.000 2.352
Mo 0.000 2.352 0.000
Mo 2.352 0.000 0.000
Se 2.352 2.352 2.352
```

(15)
The following is a GGA-PBE calculation of a relaxed structure of K2RbCl, from Alexandria. Values from VASP.

As for the energy relative to the lowest polymorph listed for this composition: 8.960 kcal/mol of atoms. The value obtained for the total magnetization is 0.000 μB/atom. As for the formation energy (no corrections): -0.5255 eV/atom. The crystal system is cubic.

```
&SYSTEM
  ibrav = 0, nat = 4, ntyp = 3
/
ATOMIC_SPECIES
K 39.10 K.upf
Rb 85.47 Rb.upf
Cl 35.45 Cl.upf
CELL_PARAMETERS angstrom
0.000 4.807 4.807
4.807 0.000 4.807
4.807 4.807 0.000
ATOMIC_POSITIONS angstrom
K 2.403 2.403 2.403
K 7.210 7.210 7.210
Rb 0.000 0.000 0.000
Cl 4.807 4.807 4.807
```

(16)
The following is a GGA-PBE calculation of a relaxed structure of SmLuCdPt, from Alexandria. Values from VASP.

The value obtained for the total magnetization is 0.000 μB/atom. The crystal system is cubic. As for the formation energy from the elements: -701 meV/atom.

```
&SYSTEM
  ibrav = 0, nat = 4, ntyp = 4
/
ATOMIC_SPECIES
Sm 150.36 Sm.upf
Lu 174.97 Lu.upf
Cd 112.41 Cd.upf
Pt 195.08 Pt.upf
CELL_PARAMETERS angstrom
0.000 3.606 3.606
3.606 0.000 3.606
3.606 3.606 0.000
ATOMIC_POSITIONS angstrom
Sm 0.000 0.000 0.000
Lu 3.606 3.606 3.606
Cd 5.408 5.408 5.408
Pt 1.803 1.803 1.803
```

(17)
The following is a GGA-PBE calculation of a relaxed structure of ScReAs2Se, from Alexandria. Values from VASP.

As for the energy relative to the lowest polymorph listed for this composition: 18.038 kcal/mol of atoms. The value obtained for the total magnetization is 0.705 μB/atom. As for the formation energy (no corrections): 1.0566 eV/atom. The crystal system is tetragonal.

```
&SYSTEM
  ibrav = 0, nat = 5, ntyp = 4
/
ATOMIC_SPECIES
Sc 44.96 Sc.upf
Re 186.21 Re.upf
As 74.92 As.upf
Se 78.96 Se.upf
CELL_PARAMETERS angstrom
5.085 0.000 0.000
0.000 5.085 0.000
0.000 0.000 4.972
ATOMIC_POSITIONS angstrom
Sc 0.000 0.000 0.000
Re 2.543 2.543 2.486
As 0.000 2.543 0.000
As 2.543 0.000 0.000
Se 0.000 0.000 2.486
```

(18)
The following is a GGA-PBE calculation of a relaxed structure of Si3PbC, from Alexandria. Values from VASP.

As for the energy relative to the lowest polymorph listed for this composition: 40.866 kcal/mol of atoms. The value obtained for the total magnetization is 0.254 μB/atom. As for the formation energy (no corrections): 2.8028 eV/atom. The crystal system is cubic.

```
&SYSTEM
  ibrav = 0, nat = 5, ntyp = 3
/
ATOMIC_SPECIES
Si 28.09 Si.upf
Pb 207.20 Pb.upf
C 12.01 C.upf
CELL_PARAMETERS angstrom
5.365 0.000 0.000
0.000 5.365 0.000
0.000 0.000 5.365
ATOMIC_POSITIONS angstrom
Si 0.000 0.000 2.682
Si 0.000 2.682 0.000
Si 2.682 0.000 0.000
Pb 0.000 0.000 0.000
C 2.682 2.682 2.682
```

(19)
The following is a GGA-PBE calculation of a relaxed structure of Pr3Sm5S8, from Alexandria. Values from VASP.

The value obtained for the total magnetization is 0.000 μB/atom. As for the formation energy (no corrections): -2.0179 eV/atom. The crystal system is trigonal.

```
&SYSTEM
  ibrav = 0, nat = 16, ntyp = 3
/
ATOMIC_SPECIES
Pr 140.91 Pr.upf
Sm 150.36 Sm.upf
S 32.06 S.upf
CELL_PARAMETERS angstrom
4.044 2.335 6.618
-4.044 2.335 6.618
0.000 -4.670 6.618
ATOMIC_POSITIONS angstrom
Pr -2.022 -1.167 6.618
Pr -2.022 1.167 13.236
Pr 0.000 2.335 6.618
Sm 0.000 0.000 0.000
Sm -4.044 0.000 9.927
Sm -2.022 1.167 3.309
Sm 2.022 1.167 3.309
Sm 0.000 0.000 9.927
S -2.047 -1.182 11.540
S 0.000 0.000 4.901
S 0.000 -2.364 8.313
S -2.047 1.182 8.313
S 2.047 -1.182 11.540
S 0.000 2.364 11.540
S 0.000 0.000 14.952
S 2.047 1.182 8.313
```

(20)
The following is a GGA-PBE calculation of a relaxed structure of PuBe3Au6, from Alexandria. Values from VASP.

The value obtained for the total magnetization is 0.563 μB/atom. The crystal system is trigonal. As for the formation energy from the elements: -186 meV/atom.

```
&SYSTEM
  ibrav = 0, nat = 10, ntyp = 3
/
ATOMIC_SPECIES
Pu 244.00 Pu.upf
Be 9.01 Be.upf
Au 196.97 Au.upf
CELL_PARAMETERS angstrom
2.856 1.649 6.125
-2.856 1.649 6.125
0.000 -3.298 6.125
ATOMIC_POSITIONS angstrom
Pu 0.000 0.000 0.000
Be 0.000 0.000 5.699
Be 0.000 0.000 11.853
Be 0.000 0.000 15.481
Au -1.428 -0.807 7.531
Au -0.521 -1.653 10.159
Au -1.172 1.278 10.159
Au 1.413 -0.834 7.531
Au 0.016 1.640 7.531
Au 1.692 0.376 10.159
```